First-principles (GGA-PBEsol) data for a geometry-optimized Cu3Ag structure, as listed in the Alexandria database.

a b c (Å): 4.245 5.245 4.551
angles (deg): 90.00 90.00 90.00
Space group Pmmn (No. 59, origin choice 2)
Asymmetric unit:
Cu: 0.250 0.001 0.158 (multiplicity 4)
Cu: 0.250 0.250 0.684 (multiplicity 2)
Ag: 0.250 0.750 0.656 (multiplicity 2)

Properties
ΔE_f   0.09 eV per atom



First-principles (GGA-PBEsol) data for a geometry-optimized CaAgHg structure, as listed in the Alexandria database.

a b c (Å): 6.796 6.796 6.796
angles (deg): 90.00 90.00 90.00
Space group F-43m (No. 216)
Asymmetric unit:
Ca: 0.000 0.000 0.000 (multiplicity 4)
Ag: 0.000 0.000 0.500 (multiplicity 4)
Hg: 0.250 0.250 0.750 (multiplicity 4)

Properties
ΔE_f   -0.22 eV per atom



First-principles (GGA-PBEsol) data for a geometry-optimized CaNiPt2 structure, as listed in the Alexandria database.

a b c (Å): 2.817 4.366 5.332
angles (deg): 90.00 104.19 90.00
Space group P2/m (No. 10)
Asymmetric unit:
Ca: 0.000 0.000 0.000 (multiplicity 1)
Ni: 0.500 0.000 0.500 (multiplicity 1)
Pt: 0.349 0.500 0.724 (multiplicity 2)

Properties
ΔE_f   -0.23 eV per atom



First-principles (GGA-PBEsol) data for a geometry-optimized Sc2TcSeF structure, as listed in the Alexandria database.

a b c (Å): 4.992 4.992 4.568
angles (deg): 90.00 90.00 90.00
Space group P4/mmm (No. 123)
Asymmetric unit:
Sc: 0.000 0.500 0.000 (multiplicity 2)
Tc: 0.000 0.000 0.000 (multiplicity 1)
Se: 0.000 0.000 0.500 (multiplicity 1)
F: 0.500 0.500 0.500 (multiplicity 1)

Properties
Formation energy from raw total energies   -2.28 eV/f.u.



First-principles (GGA-PBEsol) data for a geometry-optimized NaLiV2O6 structure, as listed in the Alexandria database.

a b c (Å): 6.868 6.880 11.612
angles (deg): 74.84 74.77 83.97
Space group P1 (No. 1)
Asymmetric unit:
Na: 0.000 0.000 0.000 (multiplicity 1)
Na: 0.003 0.014 0.503 (multiplicity 1)
Na: 0.367 0.638 0.502 (multiplicity 1)
Na: 0.553 0.435 0.246 (multiplicity 1)
Li: 0.185 0.823 0.245 (multiplicity 1)
Li: 0.190 0.817 0.756 (multiplicity 1)
Li: 0.373 0.633 0.996 (multiplicity 1)
Li: 0.519 0.501 0.753 (multiplicity 1)
V: 0.069 0.349 0.252 (multiplicity 1)
V: 0.093 0.331 0.757 (multiplicity 1)
V: 0.487 0.119 0.996 (multiplicity 1)
V: 0.489 0.099 0.503 (multiplicity 1)
V: 0.665 0.925 0.245 (multiplicity 1)
V: 0.669 0.922 0.753 (multiplicity 1)
V: 0.894 0.521 0.999 (multiplicity 1)
V: 0.898 0.517 0.509 (multiplicity 1)
O: 0.052 0.707 0.447 (multiplicity 1)
O: 0.069 0.693 0.947 (multiplicity 1)
O: 0.173 0.120 0.279 (multiplicity 1)
O: 0.197 0.102 0.788 (multiplicity 1)
O: 0.246 0.519 0.194 (multiplicity 1)
O: 0.264 0.504 0.715 (multiplicity 1)
O: 0.304 0.938 0.564 (multiplicity 1)
O: 0.307 0.952 0.052 (multiplicity 1)
O: 0.390 0.328 0.465 (multiplicity 1)
O: 0.390 0.351 0.960 (multiplicity 1)
O: 0.494 0.748 0.804 (multiplicity 1)
O: 0.494 0.750 0.289 (multiplicity 1)
O: 0.634 0.099 0.105 (multiplicity 1)
O: 0.642 0.057 0.361 (multiplicity 1)
O: 0.647 0.080 0.607 (multiplicity 1)
O: 0.652 0.074 0.858 (multiplicity 1)
O: 0.666 0.627 0.022 (multiplicity 1)
O: 0.667 0.602 0.564 (multiplicity 1)
O: 0.895 0.822 0.214 (multiplicity 1)
O: 0.898 0.817 0.727 (multiplicity 1)
O: 0.909 0.378 0.396 (multiplicity 1)
O: 0.913 0.369 0.147 (multiplicity 1)
O: 0.921 0.359 0.897 (multiplicity 1)
O: 0.970 0.348 0.637 (multiplicity 1)

Properties
Energy above the lowest structure with this stoichiometry   0.05 eV per formula unit
Formation energy from raw total energies   -23.07 eV/f.u.



First-principles (GGA-PBEsol) data for a geometry-optimized Zr2FeIr structure, as listed in the Alexandria database.

a b c (Å): 3.416 4.242 9.223
angles (deg): 90.00 90.00 90.00
Space group Imm2 (No. 44)
Asymmetric unit:
Zr: 0.000 0.000 0.000 (multiplicity 2)
Zr: 0.000 0.500 0.238 (multiplicity 2)
Fe: 0.000 0.500 0.749 (multiplicity 2)
Ir: 0.000 0.000 0.492 (multiplicity 2)

Properties
ΔE_f   -0.33 eV per atom



First-principles (GGA-PBEsol) data for a geometry-optimized SrRhF6 structure, as listed in the Alexandria database.

a b c (Å): 7.1933 7.1933 6.9273
angles (deg): 90.00 90.00 120.00
Space group R-3m (No. 166, hexagonal axes)
Asymmetric unit:
Sr: 0.0000 0.0000 0.0000 (multiplicity 3)
Rh: 0.0000 0.0000 0.5000 (multiplicity 3)
F: 0.0924 0.5462 0.3376 (multiplicity 18)

Properties
Formation energy from raw total energies   -19.66 eV/f.u.



First-principles (GGA-PBEsol) data for a geometry-optimized FeSO4F structure, as listed in the Alexandria database.

a b c (Å): 7.356 7.101 7.359
angles (deg): 90.00 119.57 90.00
Space group C2/c (No. 15)
Asymmetric unit:
Fe: 0.250 0.250 0.000 (multiplicity 4)
S: 0.000 0.133 0.250 (multiplicity 4)
O: 0.098 0.257 0.162 (multiplicity 8)
O: 0.162 0.014 0.418 (multiplicity 8)
F: 0.000 0.335 0.750 (multiplicity 4)

Properties
Formation energy from raw total energies   -10.20 eV/f.u.



First-principles (GGA-PBEsol) data for a geometry-optimized SrLiSb structure, as listed in the Alexandria database.

a b c (Å): 4.6464 4.6464 4.4780
angles (deg): 90.00 90.00 120.00
Space group P-6m2 (No. 187)
Asymmetric unit:
Sr: 0.0000 0.0000 0.0000 (multiplicity 1)
Li: 0.3333 0.6667 0.5000 (multiplicity 1)
Sb: 0.6667 0.3333 0.5000 (multiplicity 1)

Properties
Formation energy from raw total energies   -2.61 eV/f.u.



First-principles (GGA-PBEsol) data for a geometry-optimized ZrCu2Au structure, as listed in the Alexandria database.

a b c (Å): 2.8587 2.8587 26.5007
angles (deg): 90.00 90.00 120.00
Space group R-3m (No. 166, hexagonal axes)
Asymmetric unit:
Zr: 0.0000 0.0000 0.0000 (multiplicity 3)
Cu: 0.0000 0.0000 0.2465 (multiplicity 6)
Au: 0.0000 0.0000 0.5000 (multiplicity 3)

Properties
ΔE_f   0.07 eV per atom
Energy above the lowest structure with this stoichiometry   1.47 eV per formula unit



First-principles (GGA-PBEsol) data for a geometry-optimized SrTe2S structure, as listed in the Alexandria database.

a b c (Å): 5.2870 5.2870 22.3398
angles (deg): 90.00 90.00 120.00
Space group R-3m (No. 166, hexagonal axes)
Asymmetric unit:
Sr: 0.0000 0.0000 0.0000 (multiplicity 3)
Te: 0.0000 0.0000 0.3880 (multiplicity 6)
S: 0.0000 0.0000 0.5000 (multiplicity 3)

Properties
Formation energy from raw total energies   -1.21 eV/f.u.



First-principles (GGA-PBEsol) data for a geometry-optimized BaMg2Pd structure, as listed in the Alexandria database.

a b c (Å): 5.601 5.601 16.999
angles (deg): 90.00 90.00 90.00
Space group I4_1/amd (No. 141, origin choice 2)
Asymmetric unit:
Ba: 0.000 0.250 0.375 (multiplicity 4)
Mg: 0.000 0.000 0.000 (multiplicity 8)
Pd: 0.000 0.250 0.875 (multiplicity 4)

Properties
ΔE_f   -0.02 eV per atom



no.,size of the total moment (μB per atom)
1,0.00
2,0.00
3,0.08
4,0.12
5,0.00
6,0.36
7,0.13
8,0.71
9,0.00
10,0.00
11,0.00
12,0.00